Entry 1:
The following is a DFT calculation (PBE-GGA) of crystalline KP5W3 at its relaxed geometry.

Cell and atoms, written as POSCAR:
```
KP5W3
1.0
-2.9424 1.9449 4.0615
2.3959 -4.7934 0.4689
6.5871 3.5911 3.0525
P W K
5 3 1
Direct
0.3333 0.6667 0.7444 P
0.0000 0.0000 0.5000 P
0.3333 0.6667 0.2556 P
0.6667 0.3333 0.2556 P
0.6667 0.3333 0.7444 P
0.0000 0.5000 0.5000 W
0.5000 0.0000 0.5000 W
0.5000 0.5000 0.5000 W
0.0000 0.0000 0.0000 K
```

Values from the calculation:
- Electronic total energy: -7.405 eV/atom
- ρ: 6.10 g/cm3
- Total magnetization: 0.0 μB per formula unit

=====

Entry 2:
The following is a DFT calculation (PBE-GGA) of crystalline KHg2SCl3O3 at its relaxed geometry.

Cell and atoms, written as POSCAR:
```
KHg2SCl3O3
1.0
2.9749 -11.0023 0.0000
-5.9497 0.0000 0.0000
0.0000 0.0000 -6.8264
Cl K S O Hg
6 2 2 6 4
Direct
0.9250 0.9625 0.8761 Cl
0.3092 0.1546 0.9476 Cl
0.8998 0.4499 0.2411 Cl
0.0750 0.0375 0.3761 Cl
0.6908 0.8454 0.4476 Cl
0.1002 0.5501 0.7411 Cl
0.4762 0.7381 0.8006 K
0.5238 0.2619 0.3006 K
0.3341 0.6670 0.3494 S
0.6659 0.3330 0.8494 S
0.3548 0.8831 0.4687 O
0.4065 0.7033 0.1693 O
0.5935 0.2967 0.6693 O
0.6452 0.5283 0.9687 O
0.3548 0.4717 0.4687 O
0.6452 0.1169 0.9687 O
0.8809 0.4405 0.7717 Hg
0.1191 0.5595 0.2717 Hg
0.8005 0.9003 0.1565 Hg
0.1995 0.0997 0.6565 Hg
```

Values from the calculation:
- Electronic total energy: -3.696 eV/atom
- ρ: 4.66 g/cm3

=====

Entry 3:
The following is a DFT calculation (PBE-GGA) of crystalline Pm2PrAs3 at its relaxed geometry.

Cell and atoms, written as POSCAR:
```
Pm2PrAs3
1.0
4.2569 0.0000 0.0000
-2.1284 3.6865 0.0000
0.0000 0.0000 10.4265
Pm As Pr
2 3 1
Direct
0.6667 0.3333 0.1646 Pm
0.3333 0.6667 0.8354 Pm
0.3333 0.6667 0.3291 As
0.6667 0.3333 0.6709 As
0.0000 0.0000 0.0000 As
0.0000 0.0000 0.5000 Pr
```

Values from the calculation:
- Electronic total energy: -6.222 eV/atom
- ρ: 6.65 g/cm3
- Total magnetization: 0.0 μB per formula unit